No. 1
AcMgTlGe | PBE-GGA | relaxed

space group: F-43m, No. 216
final energy: -3.45 eV per atom
E_form: -274 meV/atom
calculated volume: 110.6 Å³ per cell

a b c (Å): 5.3879 5.3879 5.3879
angles (deg): 60.00 60.00 60.00
Closest atoms and distances in Å follow each position.
Positions (direct):
Ge: 0.2500 0.2500 0.2500  4 Ac 3.30, 4 Mg 3.30
Tl: 0.7500 0.7500 0.7500  4 Ac 3.30, 4 Mg 3.30
Ac: 0.5000 0.5000 0.5000  4 Ge 3.30, 4 Tl 3.30
Mg: 0.0000 0.0000 0.0000  4 Ge 3.30, 4 Tl 3.30

No. 2
Ac2Mg3ZnGe4 | PBE-GGA | relaxed

space group: P-4m2, No. 115
final energy: -3.72 eV per atom
E_form: -444 meV/atom
calculated volume: 233.9 Å³ per cell

a b c (Å): 4.7068 4.7068 10.5599
angles (deg): 90.00 90.00 90.00
Closest atoms and distances in Å follow each position.
Positions (direct):
Ac: 0.0000 0.5000 0.7603  8 Ge 3.46-3.59, 7 Mg 3.56-3.79, 2 Zn 3.62
Mg: 0.0000 0.0000 0.5000  4 Ge 2.74
Mg: 0.5000 0.0000 0.8812  5 Ge 2.62-2.67
Ge: 0.0000 0.0000 0.0000  4 Mg 2.67
Mg: 0.0000 0.5000 0.1188  5 Ge 2.62-2.67
Ge: 0.0000 0.5000 0.3674  3 Mg 2.62-2.74, 2 Zn 2.74
Ge: 0.5000 0.0000 0.6326  3 Mg 2.62-2.74, 2 Zn 2.74
Ac: 0.5000 0.0000 0.2397  8 Ge 3.46-3.59, 7 Mg 3.56-3.79, 2 Zn 3.62
Zn: 0.5000 0.5000 0.5000  4 Ge 2.74
Ge: 0.5000 0.5000 0.0000  4 Mg 2.67

No. 3
AcMgZnGe | PBE-GGA | relaxed

space group: F-43m, No. 216
final energy: -3.20 eV per atom
E_form: -297 meV/atom
calculated volume: 99.4 Å³ per cell

a b c (Å): 5.1990 5.1990 5.1990
angles (deg): 60.00 60.00 60.00
Closest atoms and distances in Å follow each position.
Positions (direct):
Ge: 0.2500 0.2500 0.2500  4 Ac 3.18, 4 Mg 3.18
Ac: 0.0000 0.0000 0.0000  4 Zn 3.18, 4 Ge 3.18
Zn: 0.7500 0.7500 0.7500  4 Mg 3.18, 4 Ac 3.18
Mg: 0.5000 0.5000 0.5000  4 Ge 3.18, 4 Zn 3.18

No. 4
AcMgZnGe2 | PBE-GGA | relaxed

space group: I-4m2, No. 119
final energy: -3.73 eV per atom
E_form: -491 meV/atom
calculated volume: 112.8 Å³ per cell

a b c (Å): 4.3702 4.3702 6.6652
angles (deg): 109.14 109.14 90.00
Closest atoms and distances in Å follow each position.
Positions (direct):
Mg: 0.7500 0.2500 0.5000  4 Ge 2.71
Ge: 0.6142 0.6142 0.2285  1 Ge 2.70, 2 Zn 2.71, 2 Mg 2.71
Zn: 0.2500 0.7500 0.5000  4 Ge 2.71
Ge: 0.3858 0.3858 0.7715  1 Ge 2.70, 2 Mg 2.71, 2 Zn 2.71
Ac: 0.0000 0.0000 0.0000  8 Ge 3.37, 4 Mg 3.67, 4 Zn 3.67

No. 5
Ac3MgZn2Ge6 | PBE-GGA | relaxed

space group: P-3m1, No. 164
final energy: -4.06 eV per atom
E_form: -383 meV/atom
calculated volume: 306.6 Å³ per cell

a b c (Å): 6.3510 6.3510 8.7786
angles (deg): 90.00 90.00 120.00
Closest atoms and distances in Å follow each position.
Positions (direct):
Zn: 0.3333 0.6667 0.0181  3 Ge 2.79
Mg: 0.0000 0.0000 0.5000  6 Ge 2.87
Ge: 0.8024 0.6048 0.7141  2 Ge 2.59, 1 Zn 2.79, 1 Mg 2.87
Ge: 0.1976 0.8024 0.2859  2 Ge 2.59, 1 Zn 2.79, 1 Mg 2.87
Ge: 0.3953 0.1976 0.7141  2 Ge 2.59, 1 Zn 2.79, 1 Mg 2.87
Ge: 0.6047 0.8024 0.2859  2 Ge 2.59, 1 Zn 2.79, 1 Mg 2.87
Zn: 0.6667 0.3333 0.9819  3 Ge 2.79
Ac: 0.6667 0.3333 0.3633  9 Ge 3.27-3.42, 1 Zn 3.35
Ge: 0.8024 0.1976 0.7141  2 Ge 2.59, 1 Zn 2.79, 1 Mg 2.87
Ac: 0.0000 0.0000 0.0000  6 Ge 3.32, 6 Zn 3.67
Ac: 0.3333 0.6667 0.6367  9 Ge 3.27-3.42, 1 Zn 3.35
Ge: 0.1976 0.3952 0.2859  2 Ge 2.59, 1 Zn 2.79, 1 Mg 2.87

No. 6
AcMnGe2 | PBE-GGA | relaxed

space group: Pnma, No. 62
final energy: -6.07 eV per atom
E_form: -444 meV/atom
calculated volume: 360.6 Å³ per cell
excess energy over the best structure of this formula in the dataset: 0 meV per atom

a b c (Å): 4.4983 7.3603 10.8917
angles (deg): 90.00 90.00 90.00
Closest atoms and distances in Å follow each position.
Positions (direct):
Ac: 0.2500 0.3305 0.6258  9 Ge 3.29-3.61, 5 Mn 3.45-3.68
Ge: 0.7500 0.6468 0.6818  2 Mn 2.45-2.50
Ge: 0.2500 0.8473 0.5692  3 Mn 2.49-2.51
Ge: 0.7500 0.1527 0.4308  3 Mn 2.49-2.51
Mn: 0.7500 0.4756 0.8746  5 Ge 2.45-2.51
Ge: 0.2500 0.3473 0.9308  3 Mn 2.49-2.51
Ac: 0.7500 0.6695 0.3742  9 Ge 3.29-3.61, 5 Mn 3.45-3.68
Ge: 0.7500 0.6527 0.0692  3 Mn 2.49-2.51
Ac: 0.7500 0.1695 0.1258  9 Ge 3.29-3.61, 5 Mn 3.45-3.68
Mn: 0.7500 0.9756 0.6254  5 Ge 2.45-2.51
Ge: 0.2500 0.8532 0.1818  2 Mn 2.45-2.50
Ge: 0.2500 0.3532 0.3182  2 Mn 2.45-2.50
Ge: 0.7500 0.1468 0.8182  2 Mn 2.45-2.50
Ac: 0.2500 0.8305 0.8742  9 Ge 3.29-3.61, 5 Mn 3.45-3.68
Mn: 0.2500 0.5244 0.1254  5 Ge 2.45-2.51
Mn: 0.2500 0.0244 0.3746  5 Ge 2.45-2.51

No. 7
AcMnGe | PBE-GGA | relaxed

space group: P-6m2, No. 187
final energy: -6.31 eV per atom
E_form: -341 meV/atom
calculated volume: 76.9 Å³ per cell

a b c (Å): 4.5075 4.4390 4.4390
angles (deg): 120.00 90.00 90.00
Closest atoms and distances in Å follow each position.
Positions (direct):
Mn: 0.1667 0.6667 0.3333  3 Ge 2.56
Ac: 0.6667 0.3333 0.6667  6 Ge 3.41, 6 Mn 3.41
Ge: 0.1666 0.0000 0.0000  3 Mn 2.56

No. 8
Ac2MnGe4 | PBE-GGA | relaxed

space group: Fmm2, No. 42
final energy: -5.50 eV per atom
E_form: -376 meV/atom
calculated volume: 184.7 Å³ per cell
excess energy over the best structure of this formula in the dataset: 19 meV per atom

a b c (Å): 6.5550 6.5550 6.1249
angles (deg): 117.82 117.82 97.35
Closest atoms and distances in Å follow each position.
Positions (direct):
Ac: 0.2499 0.7501 0.5000  8 Ge 3.29-3.30
Ge: 0.7130 0.7134 0.4264  1 Mn 2.49, 2 Ge 2.61
Mn: 0.0008 0.9992 0.0000  4 Ge 2.49
Ge: 0.7127 0.7131 0.0000  1 Mn 2.49, 2 Ge 2.61
Ge: 0.2866 0.2870 0.5736  1 Mn 2.49, 2 Ge 2.61
Ge: 0.2869 0.2873 0.0000  1 Mn 2.49, 2 Ge 2.61
Ac: 0.7499 0.2501 0.5000  8 Ge 3.29-3.30

No. 9
AcMn5Ge3 | PBE-GGA | relaxed

space group: Cmcm, No. 63
final energy: -7.27 eV per atom
E_form: -182 meV/atom
calculated volume: 301.2 Å³ per cell

a b c (Å): 3.8735 6.5890 12.3460
angles (deg): 90.00 90.00 107.09
Closest atoms and distances in Å follow each position.
Positions (direct):
Ac: 0.1652 0.3304 0.2500  7 Ge 3.18-3.49
Mn: 0.1886 0.3772 0.9429  4 Ge 2.42-2.57, 1 Mn 2.48
Mn: 0.5601 0.1202 0.6379  4 Ge 2.45-2.50, 4 Mn 2.69-2.71
Mn: 0.8114 0.6228 0.4429  4 Ge 2.42-2.57, 1 Mn 2.48
Ge: 0.1120 0.2239 0.7500  6 Mn 2.47-2.57
Mn: 0.4399 0.8798 0.1379  4 Ge 2.45-2.50, 4 Mn 2.69-2.71
Ge: 0.6193 0.2387 0.0514  7 Mn 2.42-2.53
Mn: 0.0000 0.0000 0.0000  6 Mn 2.48-2.69, 4 Ge 2.53
Mn: 0.4399 0.8798 0.3621  4 Ge 2.45-2.50, 4 Mn 2.69-2.71
Ac: 0.8348 0.6696 0.7500  7 Ge 3.18-3.49
Ge: 0.8880 0.7761 0.2500  6 Mn 2.47-2.57
Mn: 0.8114 0.6228 0.0571  4 Ge 2.42-2.57, 1 Mn 2.48
Mn: 0.0000 0.0000 0.5000  6 Mn 2.48-2.69, 4 Ge 2.53
Mn: 0.1886 0.3772 0.5571  4 Ge 2.42-2.57, 1 Mn 2.48
Ge: 0.6193 0.2387 0.4486  7 Mn 2.42-2.53
Mn: 0.5601 0.1202 0.8621  4 Ge 2.45-2.50, 4 Mn 2.69-2.71
Ge: 0.3807 0.7613 0.5514  7 Mn 2.42-2.53
Ge: 0.3807 0.7613 0.9486  7 Mn 2.42-2.53

No. 10
AcMnGe2 | PBE-GGA | relaxed

space group: P4/mmm, No. 123
final energy: -5.76 eV per atom
E_form: -128 meV/atom
calculated volume: 87.6 Å³ per cell
excess energy over the best structure of this formula in the dataset: 316 meV per atom

a b c (Å): 3.5841 3.5841 6.8184
angles (deg): 90.00 90.00 90.00
Closest atoms and distances in Å follow each position.
Positions (direct):
Ac: 0.5000 0.5000 0.5000  8 Ge 3.33, 2 Mn 3.41, 4 Ac 3.58
Ge: 0.0000 0.0000 0.8168  1 Ge 2.50
Mn: 0.5000 0.5000 0.0000  8 Ge 2.83
Ge: 0.0000 0.0000 0.1832  1 Ge 2.50

No. 11
AcMnGe2 | PBE-GGA | relaxed

space group: I4_1md, No. 109
final energy: -5.65 eV per atom
E_form: -21 meV/atom
calculated volume: 224.2 Å³ per cell
excess energy over the best structure of this formula in the dataset: 423 meV per atom

a b c (Å): 11.1259 11.1259 11.1259
angles (deg): 156.19 156.19 33.92
Closest atoms and distances in Å follow each position.
Positions (direct):
Ge: 0.3802 0.8802 0.5000  1 Mn 2.32, 1 Ge 2.41
Mn: 0.7390 0.7390 0.0000  3 Ge 2.32-2.37
Mn: 0.4890 0.9890 0.5000  3 Ge 2.32-2.37
Ge: 0.2671 0.7671 0.5000  2 Mn 2.37, 1 Ge 2.41
Ge: 0.6302 0.6302 0.0000  1 Mn 2.32, 1 Ge 2.41
Ge: 0.5171 0.5171 0.0000  2 Mn 2.37, 1 Ge 2.41
Ac: 0.8927 0.3927 0.5000  6 Ge 3.26-3.50
Ac: 0.1427 0.1427 0.0000  6 Ge 3.26-3.50